DFT (PBE) results for a relaxed TbDyI4 crystal.

The structure belongs to space group P2/m (No. 10); the cell edges are 7.150, 4.132 and 8.318 Å and the angles 90.00°, 106.54° and 90.00°. The inequivalent atoms are Tb at (0.000, 0.000, 0.000), Dy at (0.500, 0.500, 0.000), I at (0.250, 0.500, 0.247) and I at (0.253, 0.000, 0.754).

The value obtained for the magnetic moment is 0.000 μB/f.u. The mass density is 5.844 g cm⁻³. The calculation puts the formation energy without anion corrections at -1.212 eV/atom. The calculation puts the density of states at the Fermi level at 3.3 states/eV/f.u.